# 1
DFT (PBE) results for a geometry-optimized ZrBi2I structure.

Cell lengths 4.5522, 4.5522, 24.0188 Å; angles 90.00, 90.00, 90.00 degrees
With the nearest neighbours (Å) after each atom.
Space group I-42d (No. 122)
Asymmetric unit:
Zr: 0.0000 0.0000 0.0000 (multiplicity 4)  4 I 3.22, 4 Bi 3.36
Bi: 0.2169 0.2500 0.1250 (multiplicity 8)  2 Bi 3.01, 2 Zr 3.36
I: 0.0000 0.0000 0.5000 (multiplicity 4)  4 Zr 3.22, 4 Bi 3.46

Total DFT energy (no corrections) (hartree per atom): -0.156
Relative energy among the computed polymorphs (meV per atom): 0
E_form (uncorrected) (eV per formula unit): 0.826


# 2
DFT (PBE) results for a geometry-optimized La2PmHoAs4 structure.

Cell lengths 7.3982, 4.2766, 7.4008 Å; angles 90.00, 109.47, 90.00 degrees
With the nearest neighbours (Å) after each atom.
Space group P2/m (No. 10)
Asymmetric unit:
La: 0.0000 0.0000 0.0000 (multiplicity 1)  6 As 3.05
La: 0.0000 0.5000 0.5000 (multiplicity 1)  6 As 3.08
Pm: 0.5000 0.0000 0.5000 (multiplicity 1)  6 As 3.00
Ho: 0.5000 0.5000 0.0000 (multiplicity 1)  6 As 2.96-2.97
As: 0.2591 0.5000 0.2492 (multiplicity 2)  1 Ho 2.96, 2 Pm 3.00, 3 La 3.05-3.08
As: 0.2616 0.0000 0.7576 (multiplicity 2)  2 Ho 2.97, 1 Pm 3.00, 3 La 3.05-3.08

Total DFT energy (no corrections) (hartree per atom): -0.230
Energy of formation (meV per atom): -1541


# 3
DFT (PBE) results for a geometry-optimized Ac2In2Ge structure.

Cell lengths 4.1322, 4.1322, 19.0572 Å; angles 90.00, 90.00, 90.00 degrees
With the nearest neighbours (Å) after each atom.
Space group I4/mmm (No. 139)
Asymmetric unit:
Ac: 0.0000 0.0000 0.0895 (multiplicity 4)  4 Ge 3.38, 1 Ac 3.41, 4 In 3.69
In: 0.0000 0.5000 0.2500 (multiplicity 4)  4 In 2.92
Ge: 0.0000 0.0000 0.5000 (multiplicity 2)  8 Ac 3.38

Total DFT energy (no corrections) (hartree per atom): -0.146
Energy of formation (meV per atom): -307


# 4
DFT (PBE) results for a geometry-optimized BaBeZnAg2 structure.

Cell lengths 4.9026, 4.9026, 4.6461 Å; angles 90.00, 90.00, 90.00 degrees
With the nearest neighbours (Å) after each atom.
Space group P4/mmm (No. 123)
Asymmetric unit:
Ba: 0.0000 0.0000 0.0000 (multiplicity 1)  8 Ag 3.38, 4 Zn 3.47
Be: 0.5000 0.5000 0.5000 (multiplicity 1)  2 Zn 2.32, 4 Ag 2.45
Zn: 0.5000 0.5000 0.0000 (multiplicity 1)  2 Be 2.32
Ag: 0.0000 0.5000 0.5000 (multiplicity 2)  2 Be 2.45

Total DFT energy (no corrections) (hartree per atom): -0.093
Energy of formation (meV per atom): -3


# 5
DFT (PBE) results for a geometry-optimized ZnP2OsS structure.

Cell lengths 4.4367, 4.4367, 5.3482 Å; angles 90.00, 90.00, 90.00 degrees
With the nearest neighbours (Å) after each atom.
Space group P4/mmm (No. 123)
Asymmetric unit:
Zn: 0.0000 0.0000 0.0000 (multiplicity 1)  4 S 3.14, 8 P 3.47
P: 0.0000 0.5000 0.5000 (multiplicity 2)  2 Os 2.22
Os: 0.5000 0.5000 0.5000 (multiplicity 1)  4 P 2.22
S: 0.5000 0.5000 0.0000 (multiplicity 1)  2 Os 2.67

Total DFT energy (no corrections) (hartree per atom): -0.179
Relative energy among the computed polymorphs (meV per atom): 0
E_form (uncorrected) (eV per formula unit): 3.088


# 6
DFT (PBE) results for a geometry-optimized LiTbGePt structure.

Cell lengths 4.3991, 4.3991, 14.5556 Å; angles 90.00, 90.00, 120.00 degrees
With the nearest neighbours (Å) after each atom.
Space group R3m (No. 160, hexagonal axes)
Asymmetric unit:
Li: 0.0000 0.0000 0.0000 (multiplicity 3)  3 Ge 2.77, 1 Tb 2.91, 3 Pt 2.93
Tb: 0.0000 0.0000 0.7999 (multiplicity 3)  4 Li 2.91-3.20, 3 Pt 2.92, 4 Ge 3.05-3.11
Ge: 0.0000 0.0000 0.5903 (multiplicity 3)  3 Pt 2.56, 3 Li 2.77
Pt: 0.0000 0.0000 0.2328 (multiplicity 3)  3 Ge 2.56

Total DFT energy (no corrections) (hartree per atom): -0.185
Energy of formation (meV per atom): -743
Relative energy among the computed polymorphs (meV per atom): 93


# 7
DFT (PBE) results for a geometry-optimized TiVW structure.

Cell lengths 3.1347, 5.0946, 6.3648 Å; angles 73.20, 89.74, 72.33 degrees
With the nearest neighbours (Å) after each atom.
Space group P-1 (No. 2)
Asymmetric unit:
Ti: 0.1607 0.1777 0.0914 (multiplicity 2)  4 W 2.71-2.76, 2 V 2.78-2.79, 3 Ti 2.83-2.99
V: 0.1649 0.1737 0.5722 (multiplicity 2)  4 W 2.62-2.71, 2 V 2.66-2.67, 2 Ti 2.78-2.79
W: 0.4903 0.5173 0.2573 (multiplicity 2)  4 V 2.62-2.71, 4 Ti 2.71-2.76

Total DFT energy (no corrections) (hartree per atom): -0.366
Energy of formation (meV per atom): 17
Relative energy among the computed polymorphs (meV per atom): 36


# 8
DFT (PBE) results for a geometry-optimized Sr11Cd6Sb12 structure.

Cell lengths 33.2701, 4.8397, 12.7319 Å; angles 90.00, 109.95, 90.00 degrees
With the nearest neighbours (Å) after each atom.
Space group C2/m (No. 12)
Asymmetric unit:
Sr: 0.0000 0.0000 0.0000 (multiplicity 2)  6 Sb 3.42-3.46
Sr: 0.0189 0.0000 0.6814 (multiplicity 4)  6 Sb 3.43-3.62, 4 Cd 3.52-3.61
Sr: 0.1136 0.0000 0.5064 (multiplicity 4)  6 Sb 3.30-3.46, 1 Cd 3.41
Sr: 0.1263 0.0000 0.0158 (multiplicity 4)  6 Sb 3.31-3.56
Sr: 0.2006 0.0000 0.3436 (multiplicity 4)  6 Sb 3.42-3.64, 2 Cd 3.64
Sr: 0.2220 0.5000 0.8670 (multiplicity 4)  5 Sb 3.31-3.64, 2 Cd 3.49
Cd: 0.0476 0.5000 0.2452 (multiplicity 4)  3 Sb 2.83-3.00
Cd: 0.1004 0.5000 0.7452 (multiplicity 4)  4 Sb 2.88-3.05
Cd: 0.2193 0.0000 0.6668 (multiplicity 4)  4 Sb 2.91-3.13
Sb: 0.0430 0.5000 0.5001 (multiplicity 4)  1 Sb 2.86, 1 Cd 3.05
Sb: 0.0466 0.5000 0.8847 (multiplicity 4)  2 Cd 2.92-3.00
Sb: 0.0900 0.0000 0.2328 (multiplicity 4)  2 Cd 2.83
Sb: 0.1503 0.0000 0.7840 (multiplicity 4)  3 Cd 2.88-3.13
Sb: 0.1907 0.5000 0.5289 (multiplicity 4)  2 Cd 2.95
Sb: 0.2046 0.5000 0.1343 (multiplicity 4)  1 Cd 2.91

Total DFT energy (no corrections) (hartree per atom): -0.123
E_form (uncorrected) (eV per formula unit): -23.503


# 9
DFT (PBE) results for a geometry-optimized SrHgPb2 structure.

Cell lengths 4.1462, 4.1462, 7.3830 Å; angles 90.00, 90.00, 90.00 degrees
With the nearest neighbours (Å) after each atom.
Space group P4/mmm (No. 123)
Asymmetric unit:
Sr: 0.0000 0.0000 0.0000 (multiplicity 1)  8 Pb 3.62, 2 Hg 3.69
Hg: 0.0000 0.0000 0.5000 (multiplicity 1)  8 Pb 3.32, 2 Sr 3.69
Pb: 0.5000 0.5000 0.2882 (multiplicity 2)  1 Pb 3.13, 4 Hg 3.32

Total DFT energy (no corrections) (hartree per atom): -0.094
Energy of formation (meV per atom): -215


# 10
DFT (PBE) results for a geometry-optimized K2BeMo structure.

Cell lengths 8.2233, 2.8385, 10.1872 Å; angles 90.00, 92.56, 90.00 degrees
With the nearest neighbours (Å) after each atom.
Space group Cm (No. 8)
Asymmetric unit:
K: 0.0000 0.0000 0.0000 (multiplicity 2)  2 K 2.84
K: 0.2251 0.0000 0.5664 (multiplicity 2)  2 K 2.84
Be: 0.2307 0.5000 0.2360 (multiplicity 2)  3 Mo 2.38-2.45
Mo: 0.4599 0.0000 0.3097 (multiplicity 2)  3 Be 2.38-2.45

Total DFT energy (no corrections) (hartree per atom): -0.116
Energy of formation (meV per atom): 1033


# 11
DFT (PBE) results for a geometry-optimized PuCo2Si3 structure.

Cell lengths 5.0706, 5.0706, 3.7682 Å; angles 90.00, 90.00, 120.00 degrees
With the nearest neighbours (Å) after each atom.
Space group P6/mmm (No. 191)
Asymmetric unit:
Pu: 0.0000 0.0000 0.0000 (multiplicity 1)  6 Co 2.93, 12 Si 3.16
Co: 0.3333 0.6667 0.0000 (multiplicity 2)  6 Si 2.39
Si: 0.0000 0.5000 0.5000 (multiplicity 3)  4 Co 2.39, 4 Si 2.54

Total DFT energy (no corrections) (hartree per atom): -0.293
E_form (uncorrected) (eV per formula unit): -3.067


# 12
DFT (PBE) results for a geometry-optimized V2GaMo8 structure.

Cell lengths 3.1458, 7.0238, 8.0825 Å; angles 74.74, 78.79, 89.92 degrees
With the nearest neighbours (Å) after each atom.
Space group P-1 (No. 2)
Asymmetric unit:
V: 0.2264 0.1377 0.0466 (multiplicity 2)  6 Mo 2.62-2.73, 2 V 2.74
Ga: 0.5000 0.5000 0.5000 (multiplicity 1)  10 Mo 2.75-3.08
Mo: 0.0466 0.2227 0.4076 (multiplicity 2)  6 Mo 2.68-2.73, 2 Ga 2.75
Mo: 0.1414 0.6898 0.2147 (multiplicity 2)  2 V 2.62-2.63, 4 Mo 2.69-2.71, 2 Ga 2.78-2.79
Mo: 0.3208 0.5912 0.8589 (multiplicity 2)  6 Mo 2.68-2.76, 2 V 2.72-2.73
Mo: 0.4075 0.0491 0.6860 (multiplicity 2)  2 V 2.68, 6 Mo 2.69-2.73

Total DFT energy (no corrections) (hartree per atom): -0.363
Energy of formation (meV per atom): -63


# 13
DFT (PBE) results for a geometry-optimized ZrSbPO2 structure.

Cell lengths 4.0009, 4.0009, 5.3056 Å; angles 90.00, 90.00, 90.00 degrees
With the nearest neighbours (Å) after each atom.
Space group P4/mmm (No. 123)
Asymmetric unit:
Zr: 0.0000 0.0000 0.0000 (multiplicity 1)  4 P 2.83
Sb: 0.5000 0.5000 0.5000 (multiplicity 1)  4 O 2.00
P: 0.5000 0.5000 0.0000 (multiplicity 1)  2 Sb 2.65, 4 Zr 2.83
O: 0.0000 0.5000 0.5000 (multiplicity 2)  2 Sb 2.00

Total DFT energy (no corrections) (hartree per atom): -0.227
Relative energy among the computed polymorphs (meV per atom): 758
E_form (uncorrected) (eV per formula unit): -2.937


# 14
DFT (PBE) results for a geometry-optimized CaLuIrPt structure.

Cell lengths 6.8169, 6.8169, 6.8169 Å; angles 90.00, 90.00, 90.00 degrees
With the nearest neighbours (Å) after each atom.
Space group F-43m (No. 216)
Asymmetric unit:
Ca: 0.0000 0.0000 0.0000 (multiplicity 4)  4 Ir 2.95, 4 Pt 2.95
Lu: 0.0000 0.0000 0.5000 (multiplicity 4)  4 Pt 2.95, 4 Ir 2.95
Ir: 0.2500 0.2500 0.7500 (multiplicity 4)  4 Ca 2.95, 4 Lu 2.95
Pt: 0.2500 0.2500 0.2500 (multiplicity 4)  4 Ca 2.95, 4 Lu 2.95

Total DFT energy (no corrections) (hartree per atom): -0.227
Energy of formation (meV per atom): -815


# 15
DFT (PBE) results for a geometry-optimized KAuBr2 structure.

Cell lengths 7.6646, 7.6646, 7.6646 Å; angles 90.00, 90.00, 90.00 degrees
With the nearest neighbours (Å) after each atom.
Space group F-43m (No. 216)
Asymmetric unit:
K: 0.0000 0.0000 0.0000 (multiplicity 4)  4 Br 3.32, 4 Au 3.32
Au: 0.2500 0.2500 0.2500 (multiplicity 4)  4 K 3.32, 4 Br 3.32
Br: 0.0000 0.0000 0.5000 (multiplicity 4)  4 Au 3.32, 4 Br 3.32
Br: 0.2500 0.2500 0.7500 (multiplicity 4)  4 Br 3.32, 4 K 3.32

Total DFT energy (no corrections) (hartree per atom): -0.080
Relative energy among the computed polymorphs (meV per atom): 684
E_form (uncorrected) (eV per formula unit): -0.985


# 16
DFT (PBE) results for a geometry-optimized MnSb2OsRh structure.

Cell lengths 4.7769, 4.7769, 4.3900 Å; angles 90.00, 90.00, 90.00 degrees
With the nearest neighbours (Å) after each atom.
Space group P4/mmm (No. 123)
Asymmetric unit:
Mn: 0.0000 0.0000 0.0000 (multiplicity 1)  2 Rh 2.19, 4 Sb 2.39
Sb: 0.0000 0.5000 0.0000 (multiplicity 2)  2 Mn 2.39
Os: 0.5000 0.5000 0.5000 (multiplicity 1)  8 Sb 3.24, 4 Rh 3.38
Rh: 0.0000 0.0000 0.5000 (multiplicity 1)  2 Mn 2.19

Total DFT energy (no corrections) (hartree per atom): -0.218
E_form (uncorrected) (eV per formula unit): 6.395


# 17
DFT (PBE) results for a geometry-optimized Zr2AlSi structure.

Cell lengths 6.6436, 6.6436, 6.6436 Å; angles 90.00, 90.00, 90.00 degrees
With the nearest neighbours (Å) after each atom.
Space group F-43m (No. 216)
Asymmetric unit:
Zr: 0.0000 0.0000 0.0000 (multiplicity 4)  4 Zr 2.88, 4 Si 2.88
Zr: 0.2500 0.2500 0.2500 (multiplicity 4)  4 Zr 2.88, 4 Al 2.88
Al: 0.0000 0.0000 0.5000 (multiplicity 4)  4 Si 2.88, 4 Zr 2.88
Si: 0.2500 0.2500 0.7500 (multiplicity 4)  4 Zr 2.88, 4 Al 2.88

Total DFT energy (no corrections) (hartree per atom): -0.239
Relative energy among the computed polymorphs (meV per atom): 791
E_form (uncorrected) (eV per formula unit): 0.227


# 18
DFT (PBE) results for a geometry-optimized MgBi3B structure.

Cell lengths 5.4861, 5.4861, 5.4861 Å; angles 90.00, 90.00, 90.00 degrees
With the nearest neighbours (Å) after each atom.
Space group Pm-3m (No. 221)
Asymmetric unit:
Mg: 0.0000 0.0000 0.0000 (multiplicity 1)  6 Bi 2.74
Bi: 0.0000 0.0000 0.5000 (multiplicity 3)  2 Mg 2.74
B: 0.5000 0.5000 0.5000 (multiplicity 1)  12 Bi 3.88

Total DFT energy (no corrections) (hartree per atom): -0.096
Energy of formation (meV per atom): 1384
Relative energy among the computed polymorphs (meV per atom): 700


# 19
DFT (PBE) results for a geometry-optimized Nd12Er6Zr structure.

Cell lengths 15.6823, 15.6823, 8.8106 Å; angles 90.00, 90.00, 120.00 degrees
With the nearest neighbours (Å) after each atom.
Space group R-3 (No. 148, hexagonal axes)
Asymmetric unit:
Nd: 0.0356 0.7551 0.3389 (multiplicity 18)  8 Nd 3.58-3.65, 4 Er 3.59-3.67
Nd: 0.0760 0.5120 0.6661 (multiplicity 18)  1 Zr 3.52, 8 Nd 3.52-3.67, 3 Er 3.54-3.75
Er: 0.0168 0.8819 0.6715 (multiplicity 18)  4 Er 3.46-3.62, 1 Zr 3.52, 7 Nd 3.54-3.75
Zr: 0.0000 0.0000 0.0000 (multiplicity 3)  6 Er 3.52, 6 Nd 3.52

Total DFT energy (no corrections) (hartree per atom): -0.179
Energy of formation (meV per atom): 38


# 20
DFT (PBE) results for a geometry-optimized Fe4MoIr15 structure.

Cell lengths 3.8494, 3.8494, 19.1787 Å; angles 90.00, 90.00, 90.00 degrees
With the nearest neighbours (Å) after each atom.
Space group P4/mmm (No. 123)
Asymmetric unit:
Fe: 0.0000 0.0000 0.0994 (multiplicity 2)  12 Ir 2.71-2.72
Fe: 0.0000 0.0000 0.2966 (multiplicity 2)  12 Ir 2.69-2.75
Mo: 0.0000 0.0000 0.5000 (multiplicity 1)  12 Ir 2.72-2.73
Ir: 0.0000 0.5000 0.0000 (multiplicity 2)  8 Ir 2.71-2.72, 4 Fe 2.71
Ir: 0.0000 0.5000 0.1988 (multiplicity 4)  4 Fe 2.69-2.71, 8 Ir 2.71-2.72
Ir: 0.0000 0.5000 0.3991 (multiplicity 4)  8 Ir 2.72-2.73, 2 Mo 2.73, 2 Fe 2.75
Ir: 0.5000 0.5000 0.0993 (multiplicity 2)  8 Ir 2.71, 4 Fe 2.72
Ir: 0.5000 0.5000 0.2988 (multiplicity 2)  8 Ir 2.72, 4 Fe 2.72
Ir: 0.5000 0.5000 0.5000 (multiplicity 1)  4 Mo 2.72, 8 Ir 2.73

Total DFT energy (no corrections) (hartree per atom): -0.330
Energy of formation (meV per atom): -94


Number 1: total magnetic moment 0.00 μB per atom. Number 2: total magnetic moment 0.00 μB per atom. Number 3: total magnetic moment 0.00 μB per atom. Number 4: total magnetic moment 0.00 μB per atom. Number 5: total magnetic moment 0.00 μB per atom. Number 6: total magnetic moment 0.00 μB per atom. Number 7: total magnetic moment 0.00 μB per atom. Number 8: total magnetic moment 0.00 μB per atom. Number 9: total magnetic moment 0.00 μB per atom. Number 10: total magnetic moment 0.25 μB per atom. Number 11: total magnetic moment 0.75 μB per atom. Number 12: total magnetic moment 0.00 μB per atom. Number 13: total magnetic moment 0.14 μB per atom. Number 14: total magnetic moment 0.00 μB per atom. Number 15: total magnetic moment 0.00 μB per atom. Number 16: total magnetic moment 0.16 μB per atom. Number 17: total magnetic moment 0.00 μB per atom. Number 18: total magnetic moment 0.00 μB per atom. Number 19: total magnetic moment 0.00 μB per atom. Number 20: total magnetic moment 0.67 μB per atom.